Here is a relaxed structure of In2PRh from the Alexandria database. Energies are from PBE.

```
data_In2PRh
_chemical_formula_sum 'In4 P2 Rh2'
_cell_length_a 5.911
_cell_length_b 7.539
_cell_length_c 3.287
_cell_angle_alpha 90.00
_cell_angle_beta 90.00
_cell_angle_gamma 90.00
_space_group_name_H-M_alt 'C m m m'
_space_group_IT_number 65
_space_group_name_Hall '-C 2 2'
loop_
_atom_site_label
_atom_site_type_symbol
_atom_site_fract_x
_atom_site_fract_y
_atom_site_fract_z
In1 In 0.250 0.250 0.000
P1 P 0.000 0.000 0.500
Rh1 Rh 0.000 0.500 0.500
```

## Properties
- ρ (g/cm³) = 8.24
- DFT formation energy (meV/atom) = 87
- total DFT energy (no corrections) (eV/atom) = -4.47

---

Here is a relaxed structure of Si4PRu from the Alexandria database. Energies are from PBE.

```
data_Si4PRu
_chemical_formula_sum 'Si16 P4 Ru4'
_cell_length_a 7.021
_cell_length_b 7.021
_cell_length_c 7.021
_cell_angle_alpha 90.00
_cell_angle_beta 90.00
_cell_angle_gamma 90.00
_space_group_name_H-M_alt 'F -4 3 m'
_space_group_IT_number 216
_space_group_name_Hall 'F -4 2 3'
loop_
_atom_site_label
_atom_site_type_symbol
_atom_site_fract_x
_atom_site_fract_y
_atom_site_fract_z
Si1 Si 0.124 0.124 0.376
P1 P 0.250 0.250 0.750
Ru1 Ru 0.000 0.000 0.000
```

## Properties
- ρ (g/cm³) = 4.69
- ΔE_f (raw) (eV per atom) = 0.681
- total DFT energy (no corrections) (eV/atom) = -5.38

---

Here is a relaxed structure of K3Np3GaS8 from the Alexandria database. Energies are from PBE.

```
data_K3Np3GaS8
_chemical_formula_sum 'K9 Np9 Ga3 S24'
_cell_length_a 8.0087
_cell_length_b 8.0087
_cell_length_c 22.2332
_cell_angle_alpha 90.00
_cell_angle_beta 90.00
_cell_angle_gamma 120.00
_space_group_name_H-M_alt 'R -3 m'
_space_group_IT_number 166
_space_group_name_Hall '-R 3 2"'
loop_
_atom_site_label
_atom_site_type_symbol
_atom_site_fract_x
_atom_site_fract_y
_atom_site_fract_z
K1 K 0.0000 0.5000 0.0000
Np1 Np 0.0000 0.5000 0.5000
Ga1 Ga 0.0000 0.0000 0.5000
S1 S 0.0000 0.0000 0.2335
S2 S 0.0098 0.5049 0.2290
```

## Properties
- ρ (g/cm³) = 4.66
- ΔE_f (raw) (eV per atom) = -1.224
- total DFT energy (no corrections) (eV/atom) = -6.43

---

Here is a relaxed structure of Sc2HgP2 from the Alexandria database. Energies are from PBE.

```
data_Sc2HgP2
_chemical_formula_sum 'Sc4 Hg2 P4'
_cell_length_a 7.310
_cell_length_b 7.310
_cell_length_c 3.464
_cell_angle_alpha 90.00
_cell_angle_beta 90.00
_cell_angle_gamma 90.00
_space_group_name_H-M_alt 'P 4/m b m'
_space_group_IT_number 127
_space_group_name_Hall '-P 4 2ab'
loop_
_atom_site_label
_atom_site_type_symbol
_atom_site_fract_x
_atom_site_fract_y
_atom_site_fract_z
Sc1 Sc 0.154 0.346 0.000
Hg1 Hg 0.000 0.000 0.500
P1 P 0.148 0.648 0.500
```

## Properties
- ρ (g/cm³) = 6.32
- DFT formation energy (meV/atom) = -850
- total DFT energy (no corrections) (eV/atom) = -5.61

---

Here is a relaxed structure of Rb3BeBr from the Alexandria database. Energies are from PBE.

```
data_Rb3BeBr
_chemical_formula_sum 'Rb3 Be1 Br1'
_cell_length_a 6.616
_cell_length_b 6.616
_cell_length_c 6.616
_cell_angle_alpha 90.00
_cell_angle_beta 90.00
_cell_angle_gamma 90.00
_space_group_name_H-M_alt 'P m -3 m'
_space_group_IT_number 221
_space_group_name_Hall '-P 4 2 3'
loop_
_atom_site_label
_atom_site_type_symbol
_atom_site_fract_x
_atom_site_fract_y
_atom_site_fract_z
Rb1 Rb 0.000 0.000 0.500
Be1 Be 0.500 0.500 0.500
Br1 Br 0.000 0.000 0.000
```

## Properties
- ρ (g/cm³) = 1.98
- ΔE_f (raw) (eV per atom) = -0.047
- total DFT energy (no corrections) (eV/atom) = -1.71

---

Here is a relaxed structure of Er5IrAu2 from the Alexandria database. Energies are from PBE.

```
data_Er5IrAu2
_chemical_formula_sum 'Er10 Ir2 Au4'
_cell_length_a 7.142
_cell_length_b 11.663
_cell_length_c 4.728
_cell_angle_alpha 90.00
_cell_angle_beta 90.00
_cell_angle_gamma 90.00
_space_group_name_H-M_alt 'P b a m'
_space_group_IT_number 55
loop_
_space_group_symop_operation_xyz
'x,y,z'
'-x,-y,-z'
'-x,-y,z'
'x,y,-z'
'x+1/2,-y+1/2,-z'
'-x+1/2,y+1/2,z'
'-x+1/2,y+1/2,-z'
'x+1/2,-y+1/2,z'
loop_
_atom_site_label
_atom_site_type_symbol
_atom_site_fract_x
_atom_site_fract_y
_atom_site_fract_z
Er1 Er 0.000 0.000 0.000
Er2 Er 0.153 0.292 0.000
Er3 Er 0.178 0.586 0.500
Ir1 Ir 0.000 0.500 0.000
Au1 Au 0.069 0.838 0.500
```

## Properties
- ρ (g/cm³) = 12.00
- DFT formation energy (meV/atom) = -754
- total DFT energy (no corrections) (eV/atom) = -5.53

---

Here is a relaxed structure of Sm2PdCl from the Alexandria database. Energies are from PBE.

```
data_Sm2PdCl
_chemical_formula_sum 'Sm6 Pd3 Cl3'
_cell_length_a 4.0551
_cell_length_b 4.0551
_cell_length_c 22.8902
_cell_angle_alpha 90.00
_cell_angle_beta 90.00
_cell_angle_gamma 120.00
_space_group_name_H-M_alt 'R 3 m'
_space_group_IT_number 160
_space_group_name_Hall 'R 3 -2"'
loop_
_atom_site_label
_atom_site_type_symbol
_atom_site_fract_x
_atom_site_fract_y
_atom_site_fract_z
Sm1 Sm 0.0000 0.0000 0.0000
Sm2 Sm 0.0000 0.0000 0.1924
Pd1 Pd 0.0000 0.0000 0.5958
Cl1 Cl 0.0000 0.0000 0.7655
```

## Properties
- ρ (g/cm³) = 6.76
- ΔE_f (raw) (eV per atom) = -1.058
- total DFT energy (no corrections) (eV/atom) = -5.18

---

Here is a relaxed structure of CaYCd2 from the Alexandria database. Energies are from PBE.

```
data_CaYCd2
_chemical_formula_sum 'Ca4 Y4 Cd8'
_cell_length_a 8.324
_cell_length_b 8.324
_cell_length_c 7.156
_cell_angle_alpha 90.00
_cell_angle_beta 90.00
_cell_angle_gamma 90.00
_space_group_name_H-M_alt 'I -4 2 d'
_space_group_IT_number 122
_space_group_name_Hall 'I -4 2bw'
loop_
_atom_site_label
_atom_site_type_symbol
_atom_site_fract_x
_atom_site_fract_y
_atom_site_fract_z
Ca1 Ca 0.000 0.000 0.000
Y1 Y 0.000 0.000 0.500
Cd1 Cd 0.244 0.250 0.625
```

## Properties
- ρ (g/cm³) = 4.74
- DFT formation energy (meV/atom) = 33
- total DFT energy (no corrections) (eV/atom) = -2.54

---

Here is a relaxed structure of La8RhAu3I4 from the Alexandria database. Energies are from PBE.

```
data_La8RhAu3I4
_chemical_formula_sum 'La16 Rh2 Au6 I8'
_cell_length_a 15.207
_cell_length_b 8.770
_cell_length_c 9.586
_cell_angle_alpha 90.00
_cell_angle_beta 121.94
_cell_angle_gamma 90.00
_space_group_name_H-M_alt 'C 1 2/m 1'
_space_group_IT_number 12
loop_
_space_group_symop_operation_xyz
'x,y,z'
'-x,-y,-z'
'-x,y,-z'
'x,-y,z'
'x+1/2,y+1/2,z'
'-x+1/2,-y+1/2,-z'
'-x+1/2,y+1/2,-z'
'x+1/2,-y+1/2,z'
loop_
_atom_site_label
_atom_site_type_symbol
_atom_site_fract_x
_atom_site_fract_y
_atom_site_fract_z
La1 La 0.014 0.239 0.303
La2 La 0.225 0.000 0.697
La3 La 0.235 0.500 0.704
Rh1 Rh 0.000 0.000 0.500
Au1 Au 0.000 0.500 0.500
Au2 Au 0.250 0.250 0.500
I1 I 0.000 0.000 0.000
I2 I 0.000 0.500 0.000
I3 I 0.250 0.250 0.000
```

## Properties
- ρ (g/cm³) = 7.08
- ΔE_f (raw) (eV per atom) = -0.943
- total DFT energy (no corrections) (eV/atom) = -4.87

---

Here is a relaxed structure of KAu5 from the Alexandria database. Energies are from PBE.

```
data_KAu5
_chemical_formula_sum 'K1 Au5'
_cell_length_a 5.7554
_cell_length_b 5.7554
_cell_length_c 4.6120
_cell_angle_alpha 90.00
_cell_angle_beta 90.00
_cell_angle_gamma 120.00
_space_group_name_H-M_alt 'P 6/m m m'
_space_group_IT_number 191
_space_group_name_Hall '-P 6 2'
loop_
_atom_site_label
_atom_site_type_symbol
_atom_site_fract_x
_atom_site_fract_y
_atom_site_fract_z
K1 K 0.0000 0.0000 0.0000
Au1 Au 0.0000 0.5000 0.5000
Au2 Au 0.3333 0.6667 0.0000
```

## Properties
- ρ (g/cm³) = 12.85
- DFT formation energy (meV/atom) = -225
- total DFT energy (no corrections) (eV/atom) = -3.14

---

Here is a relaxed structure of Ce2VCo3As4 from the Alexandria database. Energies are from PBE.

```
data_Ce2VCo3As4
_chemical_formula_sum 'Ce2 V1 Co3 As4'
_cell_length_a 4.173
_cell_length_b 4.173
_cell_length_c 9.566
_cell_angle_alpha 90.00
_cell_angle_beta 90.00
_cell_angle_gamma 90.00
_space_group_name_H-M_alt 'P -4 m 2'
_space_group_IT_number 115
loop_
_space_group_symop_operation_xyz
'x,y,z'
'y,-x,-z'
'-x,-y,z'
'-y,x,-z'
'-x,y,z'
'-y,-x,-z'
'x,-y,z'
'y,x,-z'
loop_
_atom_site_label
_atom_site_type_symbol
_atom_site_fract_x
_atom_site_fract_y
_atom_site_fract_z
Ce1 Ce 0.000 0.500 0.242
V1 V 0.000 0.000 0.500
Co1 Co 0.000 0.500 0.888
Co2 Co 0.500 0.500 0.500
As1 As 0.000 0.000 0.000
As2 As 0.000 0.500 0.641
As3 As 0.500 0.500 0.000
```

## Properties
- ρ (g/cm³) = 8.05
- DFT formation energy (meV/atom) = -753
- total DFT energy (no corrections) (eV/atom) = -6.84